This record from Alexandria describes crystalline Tm8GeTe4P3 at its relaxed geometry. The functional is PBE.

Results
Calculated volume ... 1212.4 Å³/cell
Final energy ... -91.82 eV per formula unit

Cell: 8.1915 8.1915 20.8637 Å, 90.00 90.00 120.00°
Space group R-3m (No. 166, hexagonal axes)
Unique sites:
1 Tm 0.0000 0.0000 0.2364 (multiplicity 6)
2 Tm 0.0023 0.5012 0.7625 (multiplicity 18)
3 Ge 0.0000 0.0000 0.5000 (multiplicity 3)
4 Te 0.0000 0.0000 0.0000 (multiplicity 3)
5 Te 0.0000 0.5000 0.0000 (multiplicity 9)
6 P 0.0000 0.5000 0.5000 (multiplicity 9)